# K2LiTcBr6

Crystalline K2LiTcBr6 at its relaxed geometry (PBE, OQMD).

Cell: 7.4448 7.4448 10.5194 Å, 90.00 90.00 90.00°
Space group I4/mmm (No. 139)
Inequivalent atoms, fractional coordinates:
K 0.0000 0.5000 0.2500
Li 0.0000 0.0000 0.0000
Tc 0.0000 0.0000 0.5000
Br 0.0000 0.0000 0.2569
Br 0.2427 0.2427 0.5000

Magnetic moment: 3.988 μB/cell
Offset from the most stable computed form: 13 meV per atom

# K2LiTcBr6

Crystalline K2LiTcBr6 at its relaxed geometry (PBE, OQMD).

Cell: 7.2751 7.2751 10.9024 Å, 90.00 90.00 90.00°
Space group I4/m (No. 87)
Inequivalent atoms, fractional coordinates:
K 0.0000 0.5000 0.2500
Li 0.0000 0.0000 0.0000
Tc 0.0000 0.0000 0.5000
Br 0.0000 0.0000 0.2639
Br 0.1871 0.7010 0.5000

Magnetic moment: 3.994 μB/cell
Offset from the most stable computed form: 0 meV per atom

# K2LiZrBr6

Crystalline K2LiZrBr6 at its relaxed geometry (PBE, OQMD).

Cell: 10.7890 10.7890 10.7890 Å, 90.00 90.00 90.00°
Space group Fm-3m (No. 225)
Inequivalent atoms, fractional coordinates:
K 0.2500 0.2500 0.2500
Li 0.0000 0.0000 0.0000
Zr 0.0000 0.0000 0.5000
Br 0.0000 0.0000 0.2500

DFT total energy: -149.9 eV for the cell shown
Magnetic moment: 4.013 μB/cell

# KMoBr6

Crystalline KMoBr6 at its relaxed geometry (PBE, OQMD).

Cell: 8.7789 9.4621 8.0732 Å, 90.00 119.31 90.00°
Space group C2/m (No. 12)
Inequivalent atoms, fractional coordinates:
K 0.0000 0.0000 0.0000
Mo 0.0000 0.5000 0.5000
Br 0.1171 0.3105 0.7534
Br 0.2187 0.0000 0.5047

DFT total energy: -56.1 eV for the cell shown
Magnetic moment: 2.007 μB/cell

# KRb2MoBr6

Crystalline KRb2MoBr6 at its relaxed geometry (PBE, OQMD).

Cell: 11.4330 11.4330 11.4330 Å, 90.00 90.00 90.00°
Space group Fm-3m (No. 225)
Inequivalent atoms, fractional coordinates:
K 0.0000 0.0000 0.0000
Rb 0.2500 0.2500 0.2500
Mo 0.0000 0.0000 0.5000
Br 0.0000 0.0000 0.2722

DFT total energy: -145.1 eV for the cell shown
Magnetic moment: 12.014 μB/cell

# K2NaPtBr6

Crystalline K2NaPtBr6 at its relaxed geometry (PBE, OQMD).

Cell: 10.8390 10.8390 10.8390 Å, 90.00 90.00 90.00°
Space group Fm-3m (No. 225)
Inequivalent atoms, fractional coordinates:
K 0.2500 0.2500 0.2500
Na 0.0000 0.0000 0.0000
Pt 0.0000 0.0000 0.5000
Br 0.0000 0.0000 0.2638

DFT total energy: -119.5 eV for the cell shown
Magnetic moment: 0.024 μB/cell